KMg2ZrIr PBE relaxed; Fermi-level density of states = 6.62 states/eV per cell; formation energy = 4.99 eV per formula unit; VASP energy = -16.70 eV for the cell shown; total magnetic moment = 0.0 μB/f.u.
1.0
4.999 0.000 0.000
0.000 4.999 0.000
0.000 0.000 5.560
K Mg Zr Ir
1 2 1 1
Direct
0.000 0.000 0.000
0.000 0.500 0.500
0.500 0.000 0.500
0.500 0.500 0.000
0.000 0.000 0.500